Compound: BiB2BrN
Source: Alexandria
Functional: PBE
Structure: optimized geometry

Calculated values
Formation energy (no corrections), eV per atom: 1.914
V, Å³/atom: 17.13
Size of the total moment, μB per formula unit: 0.0
Space group: No. 123

Cell: 4.0756 4.0756 5.1557 Å, 90.00 90.00 90.00°
Fractional coordinates of all 5 atoms:
Bi: 0.0000 0.0000 0.0000
B: 0.0000 0.5000 0.5000
B: 0.5000 0.0000 0.5000
Br: 0.5000 0.5000 0.0000
N: 0.0000 0.0000 0.5000